1.
A plane-wave DFT calculation with PBE was carried out for a geometry-optimized BaLiCdPd structure.

```
data_BaLiCdPd
_cell_length_a 8.259
_cell_length_b 4.766
_cell_length_c 6.182
_cell_angle_alpha 90.00
_cell_angle_beta 116.15
_cell_angle_gamma 90.00
_space_group_name_H-M_alt 'C 1 m 1'
_space_group_IT_number 8
loop_
_space_group_symop_operation_xyz
'x,y,z'
'x,-y,z'
'x+1/2,y+1/2,z'
'x+1/2,-y+1/2,z'
loop_
_atom_site_label
_atom_site_fract_x
_atom_site_fract_y
_atom_site_fract_z
Ba1 0.000 0.000 0.000
Li1 0.311 0.500 0.435
Cd1 0.007 0.500 0.523
Pd1 0.197 0.000 0.594
```

Summary:
Its energy above the most stable polymorph in this dataset is 0.00 kcal/mol of atoms. The value obtained for the formation enthalpy at 0 K is -0.40 eV/atom. The size of the total moment is 0.00 μB/f.u.

***

2.
A plane-wave DFT calculation with PBE was carried out for a geometry-optimized Ir2RuSe structure.

```
data_Ir2RuSe
_cell_length_a 2.884
_cell_length_b 4.494
_cell_length_c 9.259
_cell_angle_alpha 90.00
_cell_angle_beta 90.00
_cell_angle_gamma 90.00
_space_group_name_H-M_alt 'I m m 2'
_space_group_IT_number 44
loop_
_space_group_symop_operation_xyz
'x,y,z'
'-x,-y,z'
'-x,y,z'
'x,-y,z'
'x+1/2,y+1/2,z+1/2'
'-x+1/2,-y+1/2,z+1/2'
'-x+1/2,y+1/2,z+1/2'
'x+1/2,-y+1/2,z+1/2'
loop_
_atom_site_label
_atom_site_fract_x
_atom_site_fract_y
_atom_site_fract_z
Ir1 0.000 0.000 0.000
Ir2 0.000 0.500 0.226
Ru1 0.000 0.000 0.450
Se1 0.000 0.500 0.730
```

Summary:
The size of the total moment is 0.00 μB/f.u.

***

| no. | energy (eV per atom) |
| --- | --- |
| 1 | -2.89 |
| 2 | -7.16 |